1.
Sm3S3N | SCAN | single point on PBEsol structure

Calculated total energy (eV/atom): -26.75
Formation energy (no corrections) (eV per formula unit): -15.76
Mass density (kg/m3): 6223

Unit cell a=11.968 b=3.921 c=12.766 alpha=90.00 beta=90.00 gamma=90.00
Positions (direct):
Sm1 0.042 0.250 0.148
Sm2 0.080 0.250 0.628
Sm3 0.221 0.250 0.865
Sm4 0.279 0.750 0.365
Sm5 0.420 0.750 0.128
Sm6 0.458 0.750 0.648
Sm7 0.542 0.250 0.352
Sm8 0.580 0.250 0.872
Sm9 0.721 0.250 0.635
Sm10 0.779 0.750 0.135
Sm11 0.920 0.750 0.372
Sm12 0.958 0.750 0.852
S1 0.085 0.250 0.393
S2 0.138 0.750 0.996
S3 0.229 0.750 0.696
S4 0.271 0.250 0.196
S5 0.362 0.250 0.496
S6 0.415 0.750 0.893
S7 0.585 0.250 0.107
S8 0.638 0.750 0.504
S9 0.729 0.750 0.804
S10 0.771 0.250 0.304
S11 0.862 0.250 0.004
S12 0.915 0.750 0.607
N1 0.044 0.250 0.798
N2 0.456 0.750 0.298
N3 0.544 0.250 0.702
N4 0.956 0.750 0.202

2.
YMgMn2 | SCAN | single point on PBEsol structure

Calculated total energy (eV/atom): -17.32
Mass density (kg/m3): 5000
ΔH_f (0 K) (eV/atom): 0.0129
Density of states at the Fermi level (states/eV per cell): 3.5

Unit cell a=3.269 b=3.269 c=6.931 alpha=90.00 beta=90.00 gamma=90.00
Positions (direct):
Y1 0.000 0.000 0.000
Mg1 0.000 0.000 0.500
Mn1 0.500 0.500 0.278
Mn2 0.500 0.500 0.722

3.
Li2CaHg | SCAN | single point on PBEsol structure

Calculated total energy (eV/atom): -20.91
Mass density (kg/m3): 4336
ΔH_f (0 K) (eV/atom): -0.2562
Density of states at the Fermi level (states/eV per cell): 5.8

Unit cell a=4.325 b=4.325 c=20.847 alpha=90.00 beta=90.00 gamma=90.00
Positions (direct):
Li1 0.184 0.250 0.125
Li2 0.250 0.684 0.375
Li3 0.250 0.816 0.875
Li4 0.316 0.250 0.625
Li5 0.684 0.750 0.625
Li6 0.750 0.184 0.875
Li7 0.750 0.316 0.375
Li8 0.816 0.750 0.125
Ca1 0.000 0.000 0.500
Ca2 0.000 0.500 0.750
Ca3 0.500 0.000 0.250
Ca4 0.500 0.500 0.000
Hg1 0.000 0.000 0.000
Hg2 0.000 0.500 0.250
Hg3 0.500 0.000 0.750
Hg4 0.500 0.500 0.500

4.
ScNiGe | SCAN | single point on PBEsol structure

Calculated total energy (eV/atom): -17.42
Mass density (kg/m3): 6472
ΔH_f (0 K) (eV/atom): -0.9168
Density of states at the Fermi level (states/eV per cell): 5.1

Unit cell a=6.393 b=4.047 c=6.991 alpha=90.00 beta=90.00 gamma=90.00
Positions (direct):
Sc1 0.006 0.250 0.207
Sc2 0.494 0.750 0.707
Sc3 0.506 0.250 0.293
Sc4 0.994 0.750 0.793
Ni1 0.191 0.750 0.420
Ni2 0.309 0.250 0.920
Ni3 0.691 0.750 0.080
Ni4 0.809 0.250 0.580
Ge1 0.203 0.250 0.592
Ge2 0.297 0.750 0.092
Ge3 0.703 0.250 0.908
Ge4 0.797 0.750 0.408

5.
CaBiH2 | SCAN | single point on PBEsol structure

Calculated total energy (eV/atom): -23.80
Mass density (kg/m3): 5918
Density of states at the Fermi level (states/eV per cell): 5.2

Unit cell a=5.016 b=5.016 c=11.200 alpha=90.00 beta=90.00 gamma=90.00
Positions (direct):
Ca1 0.000 0.000 0.000
Ca2 0.000 0.500 0.250
Ca3 0.500 0.000 0.750
Ca4 0.500 0.500 0.500
Bi1 0.000 0.000 0.500
Bi2 0.000 0.500 0.750
Bi3 0.500 0.000 0.250
Bi4 0.500 0.500 0.000
H1 0.195 0.250 0.125
H2 0.250 0.695 0.375
H3 0.250 0.805 0.875
H4 0.305 0.250 0.625
H5 0.695 0.750 0.625
H6 0.750 0.195 0.875
H7 0.750 0.305 0.375
H8 0.805 0.750 0.125

6.
Re2SiTc | SCAN | single point on PBEsol structure

Calculated total energy (eV/atom): -46.73
Formation energy (no corrections) (eV per formula unit): 0.33
Mass density (kg/m3): 14869
Density of states at the Fermi level (states/eV per cell): 7.9

Unit cell a=3.678 b=3.678 c=8.231 alpha=90.00 beta=90.00 gamma=90.00
Positions (direct):
Re1 0.000 0.500 0.250
Re2 0.000 0.500 0.750
Re3 0.500 0.000 0.250
Re4 0.500 0.000 0.750
Si1 0.000 0.000 0.000
Si2 0.500 0.500 0.500
Tc1 0.000 0.000 0.500
Tc2 0.500 0.500 0.000

7.
Ga2GePb2 | SCAN | single point on PBEsol structure

Calculated total energy (eV/atom): -40.51
Mass density (kg/m3): 8939
ΔH_f (0 K) (eV/atom): 0.1614
Density of states at the Fermi level (states/eV per cell): 4.2

Unit cell a=6.843 b=6.843 c=4.970 alpha=90.00 beta=90.00 gamma=90.00
Positions (direct):
Ga1 0.133 0.367 0.000
Ga2 0.367 0.867 0.000
Ga3 0.633 0.133 0.000
Ga4 0.867 0.633 0.000
Ge1 0.000 0.000 0.000
Ge2 0.500 0.500 0.000
Pb1 0.187 0.687 0.500
Pb2 0.313 0.187 0.500
Pb3 0.687 0.813 0.500
Pb4 0.813 0.313 0.500

8.
CrSi2Ru | SCAN | single point on PBEsol structure

Calculated total energy (eV/atom): -18.56
Formation energy (no corrections) (eV per formula unit): -0.99
Mass density (kg/m3): 7043
Density of states at the Fermi level (states/eV per cell): 3.6

Unit cell a=3.549 b=3.549 c=7.833 alpha=90.00 beta=90.00 gamma=90.00
Positions (direct):
Cr1 0.000 0.000 0.000
Cr2 0.500 0.500 0.500
Si1 0.000 0.000 0.500
Si2 0.000 0.500 0.750
Si3 0.500 0.000 0.250
Si4 0.500 0.500 0.000
Ru1 0.000 0.500 0.250
Ru2 0.500 0.000 0.750

9.
ScMoW2 | SCAN | single point on PBEsol structure

Calculated total energy (eV/atom): -46.96
ΔE to the lowest computed polymorph (kJ/mol of atoms): 0.6
Mass density (kg/m3): 12821
ΔH_f (0 K) (eV/atom): 0.1629
Density of states at the Fermi level (states/eV per cell): 5.7

Unit cell a=3.202 b=4.504 c=9.135 alpha=90.00 beta=90.00 gamma=90.00
Positions (direct):
Sc1 0.000 0.000 0.000
Sc2 0.500 0.500 0.000
Mo1 0.000 0.500 0.738
Mo2 0.500 0.000 0.738
W1 0.000 0.000 0.502
W2 0.000 0.500 0.264
W3 0.500 0.000 0.264
W4 0.500 0.500 0.502

10.
Ba4Ge2Te5Se3 | SCAN | single point on PBEsol structure

Calculated total energy (eV/atom): -32.95
Formation energy (no corrections) (eV per formula unit): -18.40
Mass density (kg/m3): 5467

Unit cell a=7.237 b=7.436 c=9.339 alpha=71.54 beta=89.97 gamma=89.97
Positions (direct):
Ba1 0.000 0.000 0.000
Ba2 0.000 0.013 0.506
Ba3 0.479 0.470 0.883
Ba4 0.483 0.462 0.394
Ge1 0.493 0.021 0.247
Ge2 0.989 0.449 0.645
Te1 0.495 0.841 0.051
Te2 0.497 0.852 0.536
Te3 0.762 0.258 0.185
Te4 0.993 0.629 0.841
Te5 0.994 0.627 0.359
Se1 0.236 0.228 0.193
Se2 0.245 0.238 0.700
Se3 0.735 0.239 0.701

11.
ErTa3 | SCAN | single point on PBEsol structure

Calculated total energy (eV/atom): -62.18
Mass density (kg/m3): 15334
ΔH_f (0 K) (eV/atom): 0.3473
Density of states at the Fermi level (states/eV per cell): 21.6

Unit cell a=6.750 b=6.750 c=6.750 alpha=90.00 beta=90.00 gamma=90.00
Positions (direct):
Er1 0.000 0.000 0.000
Er2 0.000 0.500 0.500
Er3 0.500 0.000 0.500
Er4 0.500 0.500 0.000
Ta1 0.000 0.000 0.500
Ta2 0.000 0.500 0.000
Ta3 0.250 0.250 0.250
Ta4 0.250 0.250 0.750
Ta5 0.250 0.750 0.250
Ta6 0.250 0.750 0.750
Ta7 0.500 0.000 0.000
Ta8 0.500 0.500 0.500
Ta9 0.750 0.250 0.250
Ta10 0.750 0.250 0.750
Ta11 0.750 0.750 0.250
Ta12 0.750 0.750 0.750

12.
Y2TeO6 | SCAN | single point on PBEsol structure

Calculated total energy (eV/atom): -17.24
Formation energy (no corrections) (eV per formula unit): -24.88
Mass density (kg/m3): 5471
Density of states at the Fermi level (states/eV per cell): 0.0

Unit cell a=4.935 b=4.935 c=10.004 alpha=90.00 beta=90.00 gamma=90.00
Positions (direct):
Y1 0.000 0.000 0.166
Y2 0.000 0.000 0.834
Y3 0.500 0.500 0.334
Y4 0.500 0.500 0.666
Te1 0.000 0.000 0.500
Te2 0.500 0.500 0.000
O1 0.183 0.183 0.354
O2 0.183 0.183 0.646
O3 0.221 0.221 0.000
O4 0.279 0.721 0.500
O5 0.317 0.683 0.146
O6 0.317 0.683 0.854
O7 0.683 0.317 0.146
O8 0.683 0.317 0.854
O9 0.721 0.279 0.500
O10 0.779 0.779 0.000
O11 0.817 0.817 0.354
O12 0.817 0.817 0.646